1.
A plane-wave DFT calculation with PBE was carried out for B3RuW after structural relaxation.

Calculated values
**Calculated density**: 7.911 g/cm3
**Relative energy among the computed polymorphs**: 144 meV per atom
**DFT total energy**: -33.99 eV for the cell shown
**Magnetic moment**: 0.00 μB per formula unit
**Formation energy**: 1655 meV per atom

a = 4.0537 Å, b = 4.0537 Å, c = 4.0537 Å
α = 90.00°, β = 90.00°, γ = 90.00°
With the nearest neighbours (Å) after each atom.
Sites, in units of the cell vectors:
B: 0.0000 0.0000 0.5000  2 W 2.03
B: 0.0000 0.5000 0.0000  2 W 2.03
B: 0.5000 0.0000 0.0000  2 W 2.03
Ru: 0.5000 0.5000 0.5000  12 B 2.87
W: 0.0000 0.0000 0.0000  6 B 2.03

***

2.
A plane-wave DFT calculation with PBE was carried out for Y2B2Ru5W after structural relaxation.

Calculated values
**Calculated density**: 10.172 g/cm3
**DFT total energy**: -179.61 eV for the cell shown
**Magnetic moment**: 0.00 μB per formula unit
**Formation energy**: -419 meV per atom

a = 9.6737 Å, b = 9.6737 Å, c = 3.1002 Å
α = 90.00°, β = 90.00°, γ = 90.00°
With the nearest neighbours (Å) after each atom.
Sites, in units of the cell vectors:
Y: 0.1759 0.3241 0.0000  3 B 2.80-2.91, 10 Ru 2.86-3.02, 2 Y 3.10
Y: 0.3241 0.8241 0.0000  3 B 2.80-2.91, 10 Ru 2.86-3.02, 2 Y 3.10
Y: 0.6759 0.1759 0.0000  3 B 2.80-2.91, 10 Ru 2.86-3.02, 2 Y 3.10
Y: 0.8241 0.6759 0.0000  3 B 2.80-2.91, 10 Ru 2.86-3.02, 2 Y 3.10
B: 0.1193 0.6193 0.0000  6 Ru 2.25-2.28
B: 0.3807 0.1193 0.0000  6 Ru 2.25-2.28
B: 0.6193 0.8807 0.0000  6 Ru 2.25-2.28
B: 0.8807 0.3807 0.0000  6 Ru 2.25-2.28
Ru: 0.0000 0.5000 0.5000  4 B 2.25
Ru: 0.0688 0.7841 0.5000  2 B 2.28
Ru: 0.2159 0.0688 0.5000  2 B 2.28
Ru: 0.2841 0.5688 0.5000  2 B 2.28
Ru: 0.4312 0.2841 0.5000  2 B 2.28
Ru: 0.5000 0.0000 0.5000  4 B 2.25
Ru: 0.5688 0.7159 0.5000  2 B 2.28
Ru: 0.7159 0.4312 0.5000  2 B 2.28
Ru: 0.7841 0.9312 0.5000  2 B 2.28
Ru: 0.9312 0.2159 0.5000  2 B 2.28
W: 0.0000 0.0000 0.0000  8 Ru 2.68
W: 0.5000 0.5000 0.0000  8 Ru 2.68

***

3.
A plane-wave DFT calculation with PBE was carried out for Zr2B2Ru5W after structural relaxation.

Calculated values
**Calculated density**: 10.667 g/cm3
**DFT total energy**: -190.72 eV for the cell shown
**Magnetic moment**: 0.00 μB per formula unit
**Formation energy**: -558 meV per atom

a = 9.5115 Å, b = 9.5115 Å, c = 3.0741 Å
α = 90.00°, β = 90.00°, γ = 90.00°
With the nearest neighbours (Å) after each atom.
Sites, in units of the cell vectors:
Zr: 0.1757 0.3243 0.0000  3 B 2.74-2.87, 10 Ru 2.82-2.98
Zr: 0.3243 0.8243 0.0000  3 B 2.74-2.87, 10 Ru 2.82-2.98
Zr: 0.6757 0.1757 0.0000  3 B 2.74-2.87, 10 Ru 2.82-2.98
Zr: 0.8243 0.6757 0.0000  3 B 2.74-2.87, 10 Ru 2.82-2.98
B: 0.1207 0.6207 0.0000  6 Ru 2.23-2.24
B: 0.3793 0.1207 0.0000  6 Ru 2.23-2.24
B: 0.6207 0.8793 0.0000  6 Ru 2.23-2.24
B: 0.8793 0.3793 0.0000  6 Ru 2.23-2.24
Ru: 0.0000 0.5000 0.5000  4 B 2.24
Ru: 0.0704 0.7833 0.5000  2 B 2.23
Ru: 0.2167 0.0704 0.5000  2 B 2.23
Ru: 0.2833 0.5704 0.5000  2 B 2.23
Ru: 0.4296 0.2833 0.5000  2 B 2.23
Ru: 0.5000 0.0000 0.5000  4 B 2.24
Ru: 0.5704 0.7167 0.5000  2 B 2.23
Ru: 0.7167 0.4296 0.5000  2 B 2.23
Ru: 0.7833 0.9296 0.5000  2 B 2.23
Ru: 0.9296 0.2167 0.5000  2 B 2.23
W: 0.0000 0.0000 0.0000  8 Ru 2.66
W: 0.5000 0.5000 0.0000  8 Ru 2.66

***

4.
A plane-wave DFT calculation with PBE was carried out for Y2B2Ru after structural relaxation.

Calculated values
**Calculated density**: 6.375 g/cm3
**Relative energy among the computed polymorphs**: 51 meV per atom
**DFT total energy**: -74.24 eV for the cell shown
**Magnetic moment**: 0.00 μB per formula unit
**Formation energy**: -312 meV per atom

a = 6.4746 Å, b = 6.4746 Å, c = 3.7342 Å
α = 90.00°, β = 90.00°, γ = 90.00°
With the nearest neighbours (Å) after each atom.
Sites, in units of the cell vectors:
Y: 0.1944 0.3056 0.0000  6 B 2.71, 4 Ru 3.00
Y: 0.3056 0.8056 0.0000  6 B 2.71, 4 Ru 3.00
Y: 0.6944 0.1944 0.0000  6 B 2.71, 4 Ru 3.00
Y: 0.8056 0.6944 0.0000  6 B 2.71, 4 Ru 3.00
B: 0.0917 0.5917 0.5000  1 B 1.68
B: 0.4083 0.0917 0.5000  1 B 1.68
B: 0.5917 0.9083 0.5000  1 B 1.68
B: 0.9083 0.4083 0.5000  1 B 1.68
Ru: 0.0000 0.0000 0.5000  4 B 2.71, 8 Y 3.00
Ru: 0.5000 0.5000 0.5000  4 B 2.71, 8 Y 3.00

***

5.
A plane-wave DFT calculation with PBE was carried out for YB2Ru after structural relaxation.

Calculated values
**Calculated density**: 5.565 g/cm3
**Relative energy among the computed polymorphs**: 372 meV per atom
**DFT total energy**: -60.01 eV for the cell shown
**Magnetic moment**: 0.00 μB per formula unit
**Formation energy**: -227 meV per atom

a = 7.3822 Å, b = 7.3822 Å, c = 7.3822 Å
α = 145.84°, β = 145.84°, γ = 49.08°
With the nearest neighbours (Å) after each atom.
Sites, in units of the cell vectors:
Y: 0.3750 0.6250 0.7500  8 B 2.95, 4 Ru 3.07
Y: 0.6250 0.3750 0.2500  8 B 2.95, 4 Ru 3.07
B: 0.0000 0.0000 0.0000  2 Ru 2.00, 2 B 2.17
B: 0.0000 0.0000 0.5000  2 Ru 2.00, 2 B 2.17
B: 0.0000 0.5000 0.0000  2 Ru 2.00, 2 B 2.17
B: 0.5000 0.0000 0.5000  2 Ru 2.00, 2 B 2.17
Ru: 0.1250 0.8750 0.2500  4 B 2.00
Ru: 0.8750 0.1250 0.7500  4 B 2.00

***

6.
A plane-wave DFT calculation with PBE was carried out for YB3Ru3 after structural relaxation.

Calculated values
**Calculated density**: 7.693 g/cm3
**DFT total energy**: -224.23 eV for the cell shown
**Magnetic moment**: 0.00 μB per formula unit
**Formation energy**: -248 meV per atom

a = 6.8970 Å, b = 7.1818 Å, c = 7.6343 Å
α = 78.37°, β = 84.57°, γ = 82.86°
With the nearest neighbours (Å) after each atom.
Sites, in units of the cell vectors:
Y: 0.0000 0.0000 0.0000  4 B 2.63-2.90
Y: 0.0755 0.4371 0.5890  8 B 2.66-2.88, 1 Ru 2.94
Y: 0.4079 0.5717 0.9543  4 Ru 2.71-3.00, 6 B 2.81-2.97
Y: 0.5748 0.0540 0.3812  7 B 2.69-2.91, 2 Ru 2.79-2.82
B: 0.0295 0.5441 0.1323  1 B 1.85, 1 Ru 2.06
B: 0.0568 0.3874 0.9654  2 B 1.85-1.96
B: 0.1587 0.0882 0.4940  1 B 1.84
B: 0.3265 0.0412 0.1337  4 Ru 2.06-2.15
B: 0.3760 0.6655 0.5696  1 B 1.84
B: 0.4582 0.4090 0.6282  1 B 1.84
B: 0.6250 0.2086 0.0045  1 B 1.90
B: 0.6463 0.8839 0.7387  6 Ru 2.14-2.38
B: 0.7196 0.3897 0.4427  1 B 1.81
B: 0.8033 0.3773 0.8740  2 B 1.90-1.96, 2 Ru 2.09-2.12
B: 0.9110 0.1953 0.4341  2 B 1.81-1.84
B: 0.9223 0.7953 0.3982  3 Ru 1.96-2.11
Ru: 0.1776 0.2671 0.2398  5 B 2.07-2.29
Ru: 0.2207 0.8445 0.3549  4 B 2.11-2.20
Ru: 0.3302 0.2360 0.8800  4 B 2.15-2.30
Ru: 0.3421 0.9116 0.6857  3 B 2.11-2.15
Ru: 0.4425 0.5077 0.3486  3 B 2.12-2.20
Ru: 0.5742 0.9199 0.0100  3 B 2.06-2.14
Ru: 0.6738 0.6299 0.6009  4 B 2.07-2.27
Ru: 0.6999 0.2087 0.7171  4 B 2.09-2.23
Ru: 0.7813 0.6807 0.2423  2 B 1.96-2.06
Ru: 0.7872 0.3384 0.1663  6 B 2.15-2.33
Ru: 0.8685 0.6526 0.8951  4 B 2.12-2.33
Ru: 0.9404 0.9124 0.6137  4 B 2.01-2.21

***

Question: Number 5 is which compound?
Answer: YB2Ru

***

Question: Which of these has the highest DFT total energy?
Answer: B3RuW